6
Lattice="0.0000 3.8598 3.8598 3.8598 0.0000 3.8598 3.8598 3.8598 0.0000" Properties=species:S:1:pos:R:3 comment="SrAl4Rh, optimized geometry, DFT PBE" m_tot_mub_per_cell=0.00 sg="No. 216" formation_energy_ev_per_atom=-0.05 n_ef_per_ev_cell=3.8 pbc="T T T"
Al 2.8948 4.8249 4.8249
Al 4.8249 2.8948 4.8249
Al 2.8948 2.8948 2.8948
Al 4.8249 4.8249 2.8948
Sr 0.0000 0.0000 0.0000
Rh 5.7897 5.7897 5.7897